No. 1
Computed, not measured: a relaxed structure of SiTe2As at the PBE-GGA level of DFT.

a = 4.1235 Å, b = 4.1235 Å, c = 7.1483 Å
α = 107.58°, β = 107.58°, γ = 61.38°
Atoms (fractional coordinates):
Si: 0.0000 0.0000 0.0000
Te: 0.2527 0.2527 0.7616
Te: 0.7473 0.7473 0.2384
As: 0.5000 0.5000 0.5000

Calculated values
Distance to the lowest polymorph of the same formula in eV/atom: 0.048
V in Å³ per cell: 100
ΔE_f (raw) in eV per atom: 0.18
Magnetic moment in μB/cell: 0.00


No. 2
Computed, not measured: a relaxed structure of RbNbV3 at the PBE-GGA level of DFT.

a = 4.4928 Å, b = 4.4928 Å, c = 4.4928 Å
α = 90.00°, β = 90.00°, γ = 90.00°
Atoms (fractional coordinates):
Rb: 0.0000 0.0000 0.0000
Nb: 0.5000 0.5000 0.5000
V: 0.0000 0.0000 0.5000
V: 0.0000 0.5000 0.0000
V: 0.5000 0.0000 0.0000

Calculated values
Distance to the lowest polymorph of the same formula in eV/atom: 0.951
V in Å³ per cell: 91
Magnetic moment in μB/cell: 0.00
Energy relative to the elements in meV/atom: 2554.0


No. 3
Computed, not measured: a relaxed structure of Ba2AgPb2 at the PBE-GGA level of DFT.

a = 8.1672 Å, b = 8.1672 Å, c = 5.4798 Å
α = 90.00°, β = 90.00°, γ = 90.00°
Atoms (fractional coordinates):
Ba: 0.1617 0.3383 0.0000
Ba: 0.3383 0.8383 0.0000
Ba: 0.6617 0.1617 0.0000
Ba: 0.8383 0.6617 0.0000
Ag: 0.0000 0.0000 0.5000
Ag: 0.5000 0.5000 0.5000
Pb: 0.1433 0.6433 0.5000
Pb: 0.3567 0.1433 0.5000
Pb: 0.6433 0.8567 0.5000
Pb: 0.8567 0.3567 0.5000

Calculated values
Distance to the lowest polymorph of the same formula in eV/atom: 0.102
V in Å³ per cell: 366
Magnetic moment in μB/cell: 0.00
Energy relative to the elements in meV/atom: -354.6


No. 4
Computed, not measured: a relaxed structure of BHRh at the PBE-GGA level of DFT.

a = 4.1848 Å, b = 4.1848 Å, c = 4.4110 Å
α = 100.97°, β = 100.97°, γ = 41.99°
Atoms (fractional coordinates):
B: 0.0000 0.0000 0.0000
B: 0.5456 0.5456 0.8285
H: 0.2526 0.2526 0.5230
H: 0.8120 0.8120 0.2761
Rh: 0.2780 0.2780 0.9184
Rh: 0.6156 0.6156 0.3689

Calculated values
Distance to the lowest polymorph of the same formula in eV/atom: 0.000
V in Å³ per cell: 51
Magnetic moment in μB/cell: 0.00